[1]
First-principles (PBE-GGA) data for an optimized crystal structure of YErTh2N4, as listed in Alexandria.

Properties
Calculated total energy in eV per cell: -72.18

a = 6.158 Å, b = 3.571 Å, c = 6.182 Å
α = 90.00°, β = 109.54°, γ = 90.00°
Fractional coordinates of all 8 atoms:
Y: 0.000 0.000 0.000
Er: 0.000 0.500 0.500
Th: 0.500 0.000 0.500
Th: 0.500 0.500 0.000
N: 0.243 0.000 0.745
N: 0.245 0.500 0.250
N: 0.755 0.500 0.750
N: 0.757 0.000 0.255

[2]
First-principles (PBE-GGA) data for an optimized crystal structure of NaHgPt3, as listed in Alexandria.

Properties
Formation energy from the elements in eV/atom: 0.9822
Excess energy over the best structure of this formula in the dataset in eV per formula unit: 0.00
Calculated total energy in eV per cell: -14.83

a = 5.096 Å, b = 5.096 Å, c = 5.096 Å
α = 90.00°, β = 90.00°, γ = 90.00°
Fractional coordinates of all 5 atoms:
Na: 0.000 0.000 0.000
Hg: 0.500 0.500 0.500
Pt: 0.000 0.500 0.500
Pt: 0.500 0.000 0.500
Pt: 0.500 0.500 0.000

[3]
First-principles (PBE-GGA) data for an optimized crystal structure of HfZr2CdB, as listed in Alexandria.

Properties
Formation energy from the elements in eV/atom: -0.2515
Calculated total energy in eV per cell: -35.90

a = 4.666 Å, b = 4.666 Å, c = 4.614 Å
α = 90.00°, β = 90.00°, γ = 90.00°
Fractional coordinates of all 5 atoms:
Hf: 0.000 0.000 0.000
Zr: 0.000 0.500 0.500
Zr: 0.500 0.000 0.500
Cd: 0.500 0.500 0.000
B: 0.000 0.000 0.500